Entry 1:
SrIn7Ag5 | PBE-GGA | relaxed

## Properties
The formation energy from the elements comes out at -184 kJ/mol of formula units. The spin magnetization is 0.000 μB/atom. The volume is 298 Å³ per cell.

a = 7.707 Å, b = 7.707 Å, c = 7.707 Å
α = 135.18°, β = 97.57°, γ = 99.15°
Sites, in units of the cell vectors:
Sr: 0.000 0.000 0.000
In: 0.197 0.493 0.704
In: 0.227 0.727 0.500
In: 0.353 0.353 0.000
In: 0.356 0.008 0.348
In: 0.655 0.655 0.000
In: 0.660 0.008 0.652
In: 0.789 0.493 0.296
Ag: 0.500 0.500 0.503
Ag: 0.500 0.997 0.000
Ag: 0.780 0.280 0.500
Ag: 0.997 0.500 0.000
Ag: 0.997 0.997 0.497


Entry 2:
Sr8InAg2 | PBE-GGA | relaxed

## Properties
The formation energy from the elements comes out at -160 kJ/mol of formula units. The spin magnetization is 0.000 μB/atom. The volume is 459 Å³ per cell.

a = 9.034 Å, b = 9.034 Å, c = 6.290 Å
α = 98.53°, β = 98.53°, γ = 111.91°
Sites, in units of the cell vectors:
Sr: 0.000 0.000 0.000
Sr: 0.046 0.303 0.602
Sr: 0.135 0.607 0.188
Sr: 0.303 0.046 0.602
Sr: 0.439 0.696 0.774
Sr: 0.607 0.135 0.188
Sr: 0.696 0.439 0.774
Sr: 0.741 0.741 0.374
In: 0.371 0.371 0.177
Ag: 0.056 0.686 0.687
Ag: 0.686 0.056 0.687


Entry 3:
Sr8In2Ag | PBE-GGA | relaxed

## Properties
The formation energy from the elements comes out at -237 kJ/mol of formula units. The spin magnetization is 0.000 μB/atom. The volume is 451 Å³ per cell.

a = 10.673 Å, b = 10.673 Å, c = 7.953 Å
α = 106.82°, β = 106.82°, γ = 31.43°
Sites, in units of the cell vectors:
Sr: 0.028 0.028 0.289
Sr: 0.207 0.207 0.805
Sr: 0.338 0.338 0.540
Sr: 0.403 0.403 0.057
Sr: 0.597 0.597 0.943
Sr: 0.662 0.662 0.460
Sr: 0.793 0.793 0.195
Sr: 0.972 0.972 0.711
In: 0.183 0.183 0.211
In: 0.817 0.817 0.789
Ag: 0.500 0.500 0.500


Entry 4:
SrIn2Ag | PBE-GGA | relaxed

## Properties
The formation energy from the elements comes out at -109 kJ/mol of formula units. The spin magnetization is 0.000 μB/atom. The volume is 116 Å³ per cell.

a = 6.442 Å, b = 6.442 Å, c = 6.442 Å
α = 43.70°, β = 43.70°, γ = 43.70°
Sites, in units of the cell vectors:
Sr: 0.000 0.000 0.000
In: 0.214 0.214 0.214
In: 0.786 0.786 0.786
Ag: 0.500 0.500 0.500


Repeat the second record exactly.
Sr8InAg2 | PBE-GGA | relaxed

## Properties
The formation energy from the elements comes out at -160 kJ/mol of formula units. The spin magnetization is 0.000 μB/atom. The volume is 459 Å³ per cell.

a = 9.034 Å, b = 9.034 Å, c = 6.290 Å
α = 98.53°, β = 98.53°, γ = 111.91°
Sites, in units of the cell vectors:
Sr: 0.000 0.000 0.000
Sr: 0.046 0.303 0.602
Sr: 0.135 0.607 0.188
Sr: 0.303 0.046 0.602
Sr: 0.439 0.696 0.774
Sr: 0.607 0.135 0.188
Sr: 0.696 0.439 0.774
Sr: 0.741 0.741 0.374
In: 0.371 0.371 0.177
Ag: 0.056 0.686 0.687
Ag: 0.686 0.056 0.687